DFT (PBEsol) results for a relaxed MgCd3Ag crystal.

Geometry as POSCAR:
```
MgCd3Ag
1.0
5.1476 0.0000 0.0000
0.0000 5.1476 0.0000
0.0000 0.0000 5.1476
Mg Cd Ag
1 3 1
Cartesian
0.0000 0.0000 0.0000 Mg
0.0000 2.5738 2.5738 Cd
2.5738 0.0000 2.5738 Cd
2.5738 2.5738 0.0000 Cd
2.5738 2.5738 2.5738 Ag
```

Results
Energy relative to the elements: 0.34 eV per atom
Size of the total moment: 0.00 μB per atom